1.
Material: AlRh3I
Method: DFT, GGA-PBE
State: optimized geometry

Calculated values
Energy above the most stable polymorph in this dataset in kJ/mol of formula units: 222
Formation energy (no corrections) in eV per atom: 1.0890
Fermi-level density of states in states/eV per atom: 1.024

Cell: 4.8099 4.8099 4.8099 Å, 90.00 90.00 90.00°
Closest atoms and distances in Å follow each position.
Fractional coordinates of all 5 atoms:
Rh 0.0000 0.5000 0.0000  2 I 2.40
Rh 0.5000 0.0000 0.0000  2 I 2.40
Rh 0.0000 0.0000 0.5000  2 I 2.40
I 0.0000 0.0000 0.0000  6 Rh 2.40
Al 0.5000 0.5000 0.5000  12 Rh 3.40

***

2.
Material: MgAu2S
Method: DFT, GGA-PBE
State: optimized geometry

Calculated values
Energy above the most stable polymorph in this dataset in kJ/mol of formula units: 109
Formation energy (no corrections) in eV per atom: -0.0559
Fermi-level density of states in states/eV per atom: 0.165

Cell: 4.6783 4.6783 4.6783 Å, 60.00 60.00 60.00°
Closest atoms and distances in Å follow each position.
Fractional coordinates of all 4 atoms:
Au 0.7500 0.7500 0.7500  4 Mg 2.86, 4 S 2.86
Au 0.2500 0.2500 0.2500  4 S 2.86, 4 Mg 2.86
Mg 0.0000 0.0000 0.0000  8 Au 2.86
S 0.5000 0.5000 0.5000  8 Au 2.86

***

3.
Material: Th2Be3AlPt4
Method: DFT, GGA-PBE
State: optimized geometry

Calculated values
Fermi-level density of states in states/eV per atom: 0.627
Calculated formation energy in eV/atom: -0.9286

Cell: 4.1021 4.1021 10.0825 Å, 90.00 90.00 90.00°
Closest atoms and distances in Å follow each position.
Fractional coordinates of all 10 atoms:
Be 0.0000 0.0000 0.5000  4 Pt 2.51
Be 0.5000 0.0000 0.8815  5 Pt 2.37-2.40
Be 0.0000 0.5000 0.1185  5 Pt 2.37-2.40
Al 0.5000 0.5000 0.5000  4 Pt 2.51
Pt 0.5000 0.5000 0.0000  4 Be 2.37
Pt 0.5000 0.0000 0.6434  3 Be 2.40-2.51, 2 Al 2.51
Pt 0.0000 0.0000 0.0000  4 Be 2.37
Pt 0.0000 0.5000 0.3566  3 Be 2.40-2.51, 2 Al 2.51
Th 0.0000 0.5000 0.7529  8 Pt 3.10-3.23, 6 Be 3.18-3.27, 2 Al 3.27
Th 0.5000 0.0000 0.2471  8 Pt 3.10-3.23, 6 Be 3.18-3.27, 2 Al 3.27

***

4.
Material: MgCoMo2
Method: DFT, GGA-PBE
State: optimized geometry

Calculated values
Fermi-level density of states in states/eV per atom: 1.160
Calculated formation energy in eV/atom: 0.3495

Cell: 5.0275 5.0275 2.6692 Å, 90.00 90.00 118.37°
Closest atoms and distances in Å follow each position.
Fractional coordinates of all 4 atoms:
Co 0.5000 0.0000 0.5000  2 Mg 2.58, 2 Co 2.67, 8 Mo 2.85
Mo 0.5000 0.5000 0.0000  4 Mo 2.58-2.67, 4 Mg 2.85, 4 Co 2.85
Mo 0.0000 0.0000 0.0000  4 Mo 2.58-2.67, 4 Co 2.85, 4 Mg 2.85
Mg 0.0000 0.5000 0.5000  2 Co 2.58, 2 Mg 2.67, 8 Mo 2.85